DFT (PBE-GGA) results for an optimized crystal structure of La5Nd3Er2.

Unit cell a=11.030 b=15.006 c=10.229 alpha=90.00 beta=122.48 gamma=90.00
Space group C2/c (No. 15)
Inequivalent atoms, fractional coordinates:
La1 0.000 0.023 0.250
La2 0.000 0.230 0.250
La3 0.000 0.276 0.750
La4 0.243 0.377 0.241
Nd1 0.000 0.481 0.750
Nd2 0.152 0.125 0.058
Er1 0.156 0.377 0.559

Summary:
Energy of formation from the pure elements   14.03 kJ/mol of atoms
M_tot   0.000 μB per atom
Final energy   -4.66 eV per atom

---

DFT (PBE-GGA) results for an optimized crystal structure of Cd3Se.

Unit cell a=2.9918 b=2.9918 c=11.9289 alpha=90.00 beta=90.00 gamma=120.00
Space group P-6m2 (No. 187)
Inequivalent atoms, fractional coordinates:
Cd1 0.0000 0.0000 0.0000
Cd2 0.3333 0.6667 0.2504
Se1 0.0000 0.0000 0.5000

Summary:
M_tot   0.000 μB per atom
ΔE_f (raw)   106.9 meV per atom
Final energy   -1.45 eV per atom

---

DFT (PBE-GGA) results for an optimized crystal structure of Pm2USiRh6.

Unit cell a=9.371 b=9.371 c=9.371 alpha=90.00 beta=90.00 gamma=90.00
Space group Fm-3m (No. 225)
Inequivalent atoms, fractional coordinates:
Pm1 0.250 0.250 0.250
U1 0.000 0.000 0.000
Si1 0.000 0.000 0.500
Rh1 0.000 0.000 0.259

Summary:
M_tot   0.000 μB per atom
ΔE_f (raw)   -362.9 meV per atom
Final energy   -7.40 eV per atom

---

DFT (PBE-GGA) results for an optimized crystal structure of Rb2PmPdO4.

Unit cell a=6.143 b=14.066 c=24.143 alpha=90.00 beta=90.00 gamma=90.00
Space group Fddd (No. 70, origin choice 2)
Inequivalent atoms, fractional coordinates:
Rb1 0.125 0.125 0.322
Pm1 0.125 0.125 0.125
Pd1 0.125 0.125 0.625
O1 0.104 0.274 0.859

Summary:
M_tot   0.136 μB per atom
ΔE_f (raw)   -1311.9 meV per atom
Final energy   -5.28 eV per atom

---

DFT (PBE-GGA) results for an optimized crystal structure of InFeBi2As.

Unit cell a=5.746 b=5.746 c=4.339 alpha=90.00 beta=90.00 gamma=90.00
Space group P4/mmm (No. 123)
Inequivalent atoms, fractional coordinates:
In1 0.000 0.000 0.000
Fe1 0.500 0.500 0.000
Bi1 0.000 0.500 0.500
As1 0.500 0.500 0.500

Summary:
Energy of formation from the pure elements   50.23 kJ/mol of atoms
M_tot   0.479 μB per atom
Final energy   -4.20 eV per atom

---

DFT (PBE-GGA) results for an optimized crystal structure of CrAg2Pt.

Unit cell a=4.111 b=4.111 c=7.812 alpha=90.00 beta=90.00 gamma=90.00
Space group I-4m2 (No. 119)
Inequivalent atoms, fractional coordinates:
Cr1 0.000 0.000 0.000
Ag1 0.000 0.000 0.500
Ag2 0.000 0.500 0.250
Pt1 0.000 0.500 0.750

Summary:
Energy of formation from the pure elements   12.14 kJ/mol of atoms
M_tot   0.983 μB per atom
Distance to the lowest polymorph of the same formula   32.3 meV/atom
Final energy   -5.22 eV per atom

---

DFT (PBE-GGA) results for an optimized crystal structure of GdPuFeCo.

Unit cell a=6.697 b=6.697 c=6.697 alpha=90.00 beta=90.00 gamma=90.00
Space group F-43m (No. 216)
Inequivalent atoms, fractional coordinates:
Gd1 0.000 0.000 0.000
Pu1 0.000 0.000 0.500
Fe1 0.250 0.250 0.750
Co1 0.250 0.250 0.250

Summary:
Energy of formation from the pure elements   4.64 kJ/mol of atoms
M_tot   2.515 μB per atom
Final energy   -10.95 eV per atom

---

DFT (PBE-GGA) results for an optimized crystal structure of Tb6Dy2ErTm3.

Unit cell a=6.114 b=10.580 c=11.670 alpha=90.00 beta=100.01 gamma=90.00
Space group C2/m (No. 12)
Inequivalent atoms, fractional coordinates:
Tb1 0.249 0.000 0.249
Tb2 0.249 0.333 0.249
Dy1 0.000 0.333 0.500
Er1 0.000 0.000 0.500
Tm1 0.000 0.167 0.000
Tm2 0.000 0.500 0.000

Summary:
Energy of formation from the pure elements   1.76 kJ/mol of atoms
M_tot   0.000 μB per atom
Final energy   -4.56 eV per atom

---

DFT (PBE-GGA) results for an optimized crystal structure of BaSbPd3.

Unit cell a=5.853 b=9.676 c=8.726 alpha=90.00 beta=90.00 gamma=90.00
Space group Imma (No. 74)
Inequivalent atoms, fractional coordinates:
Ba1 0.000 0.250 0.039
Sb1 0.000 0.000 0.500
Pd1 0.000 0.250 0.635
Pd2 0.250 0.026 0.750

Summary:
M_tot   0.000 μB per atom
Distance to the lowest polymorph of the same formula   0.0 meV/atom
ΔE_f (raw)   -634.5 meV per atom
Final energy   -4.96 eV per atom

---

DFT (PBE-GGA) results for an optimized crystal structure of MgTa2ZnRh.

Unit cell a=4.754 b=4.754 c=4.381 alpha=90.00 beta=90.00 gamma=90.00
Space group P4/mmm (No. 123)
Inequivalent atoms, fractional coordinates:
Mg1 0.000 0.000 0.000
Ta1 0.000 0.500 0.000
Zn1 0.500 0.500 0.500
Rh1 0.000 0.000 0.500

Summary:
Energy of formation from the pure elements   153.68 kJ/mol of atoms
M_tot   0.000 μB per atom
Final energy   -5.19 eV per atom

---

DFT (PBE-GGA) results for an optimized crystal structure of MgCo2Ir.

Unit cell a=5.970 b=5.970 c=5.970 alpha=90.00 beta=90.00 gamma=90.00
Space group F-43m (No. 216)
Inequivalent atoms, fractional coordinates:
Mg1 0.000 0.000 0.000
Co1 0.000 0.000 0.500
Co2 0.250 0.250 0.750
Ir1 0.250 0.250 0.250

Summary:
Energy of formation from the pure elements   5.67 kJ/mol of atoms
M_tot   1.036 μB per atom
Final energy   -6.11 eV per atom

---

DFT (PBE-GGA) results for an optimized crystal structure of CdSiRhCl.

Unit cell a=3.378 b=3.379 c=7.948 alpha=89.78 beta=89.72 gamma=60.07
Space group P1 (No. 1)
Inequivalent atoms, fractional coordinates:
Cd1 0.000 0.000 0.000
Si1 0.337 0.334 0.582
Rh1 0.669 0.667 0.738
Cl1 0.339 0.335 0.312

Summary:
M_tot   0.000 μB per atom
Distance to the lowest polymorph of the same formula   2.8 meV/atom
ΔE_f (raw)   -526.8 meV per atom
Final energy   -4.41 eV per atom